A plane-wave DFT calculation with PBE was carried out for crystalline Zn2Fe2Ni3 at its relaxed geometry.

Properties
The total energy comes out at -5.278 eV/atom. As for the mass density: 8.3 g/cm³. The value obtained for the energy of formation from the pure elements is -19 meV per atom.

a = 3.7854 Å, b = 17.6154 Å, c = 2.5176 Å
α = 90.00°, β = 90.00°, γ = 90.00°
Space group Cmmm (No. 65)
Unique sites:
Zn1 0.0000 0.0718 0.0000
Fe1 0.0000 0.2128 0.0000
Ni1 0.0000 0.3501 0.5000
Ni2 0.0000 0.5000 0.5000